This record from the Alexandria database describes a relaxed ScAsP2 crystal. The functional is PBE-GGA.

```
data_ScAsP2
_cell_length_a 3.484
_cell_length_b 4.702
_cell_length_c 8.192
_cell_angle_alpha 90.00
_cell_angle_beta 90.00
_cell_angle_gamma 90.00
_space_group_name_H-M_alt 'I m m m'
_space_group_IT_number 71
_space_group_name_Hall '-I 2 2'
loop_
_atom_site_label
_atom_site_type_symbol
_atom_site_fract_x
_atom_site_fract_y
_atom_site_fract_z
Sc1 Sc 0.000 0.000 0.000
As1 As 0.000 0.000 0.500
P1 P 0.000 0.500 0.221
```

## Properties
calculated total energy	-23.13	eV/f.u.
DOS at the Fermi energy	0.437	states/eV/atom
size of the total moment	0.0	μB/cell
crystal system	orthorhombic

This record from the Alexandria database describes a relaxed TiBiSe2 crystal. The functional is PBE-GGA.

```
data_TiBiSe2
_cell_length_a 12.475
_cell_length_b 11.246
_cell_length_c 12.918
_cell_angle_alpha 90.00
_cell_angle_beta 114.18
_cell_angle_gamma 90.00
_space_group_name_H-M_alt 'C 1 2/c 1'
_space_group_IT_number 15
loop_
_space_group_symop_operation_xyz
'x,y,z'
'-x,-y,-z'
'-x,y,-z+1/2'
'x,-y,z+1/2'
'x+1/2,y+1/2,z'
'-x+1/2,-y+1/2,-z'
'-x+1/2,y+1/2,-z+1/2'
'x+1/2,-y+1/2,z+1/2'
loop_
_atom_site_label
_atom_site_type_symbol
_atom_site_fract_x
_atom_site_fract_y
_atom_site_fract_z
Ti1 Ti 0.103 0.147 0.227
Ti2 Ti 0.188 0.117 0.877
Bi1 Bi 0.051 0.442 0.924
Bi2 Bi 0.168 0.230 0.637
Se1 Se 0.000 0.212 0.750
Se2 Se 0.000 0.334 0.250
Se3 Se 0.096 0.071 0.412
Se4 Se 0.150 0.224 0.056
Se5 Se 0.239 0.496 0.250
```

## Properties
E_form (uncorrected)	-0.59	eV per atom
DOS at the Fermi energy	0.692	states/eV/atom
size of the total moment	0.0	μB/cell
crystal system	monoclinic

This record from the Alexandria database describes a relaxed SiNi2Br crystal. The functional is PBE-GGA.

```
data_SiNi2Br
_cell_length_a 3.140
_cell_length_b 3.140
_cell_length_c 7.075
_cell_angle_alpha 90.00
_cell_angle_beta 90.00
_cell_angle_gamma 90.00
_space_group_name_H-M_alt 'P 4 m m'
_space_group_IT_number 99
loop_
_space_group_symop_operation_xyz
'x,y,z'
'-y,x,z'
'-x,-y,z'
'y,-x,z'
'-x,y,z'
'y,x,z'
'x,-y,z'
'-y,-x,z'
loop_
_atom_site_label
_atom_site_type_symbol
_atom_site_fract_x
_atom_site_fract_y
_atom_site_fract_z
Si1 Si 0.000 0.000 0.000
Ni1 Ni 0.000 0.000 0.683
Ni2 Ni 0.500 0.500 0.907
Br1 Br 0.500 0.500 0.488
```

## Properties
E_form (uncorrected)	0.17	eV per atom
DOS at the Fermi energy	0.921	states/eV/atom
size of the total moment	0.2	μB/cell
crystal system	tetragonal

This record from the Alexandria database describes a relaxed Tb8ErIr6 crystal. The functional is PBE-GGA.

```
data_Tb8ErIr6
_cell_length_a 8.2939
_cell_length_b 8.2939
_cell_length_c 18.0746
_cell_angle_alpha 90.00
_cell_angle_beta 90.00
_cell_angle_gamma 120.00
_space_group_name_H-M_alt 'R -3'
_space_group_IT_number 148
_space_group_name_Hall '-R 3'
loop_
_atom_site_label
_atom_site_type_symbol
_atom_site_fract_x
_atom_site_fract_y
_atom_site_fract_z
Tb1 Tb 0.0000 0.0000 0.1671
Tb2 Tb 0.0014 0.6657 0.2785
Er1 Er 0.0000 0.0000 0.5000
Ir1 Ir 0.9998 0.3323 0.5565
```

## Properties
calculated total energy	-106.37	eV/f.u.
DOS at the Fermi energy	0.651	states/eV/atom
size of the total moment	0.0	μB/cell
crystal system	trigonal

This record from the Alexandria database describes a relaxed InSiTc4 crystal. The functional is PBE-GGA.

```
data_InSiTc4
_cell_length_a 7.328
_cell_length_b 7.328
_cell_length_c 7.328
_cell_angle_alpha 90.00
_cell_angle_beta 90.00
_cell_angle_gamma 90.00
_space_group_name_H-M_alt 'F -4 3 m'
_space_group_IT_number 216
_space_group_name_Hall 'F -4 2 3'
loop_
_atom_site_label
_atom_site_type_symbol
_atom_site_fract_x
_atom_site_fract_y
_atom_site_fract_z
In1 In 0.000 0.000 0.000
Si1 Si 0.250 0.250 0.750
Tc1 Tc 0.125 0.125 0.375
```

## Properties
E_form (uncorrected)	0.49	eV per atom
DOS at the Fermi energy	1.085	states/eV/atom
size of the total moment	0.0	μB/cell
crystal system	cubic

This record from the Alexandria database describes a relaxed LiHoP2Pt7 crystal. The functional is PBE-GGA.

```
data_LiHoP2Pt7
_cell_length_a 4.073
_cell_length_b 4.073
_cell_length_c 25.116
_cell_angle_alpha 90.00
_cell_angle_beta 90.00
_cell_angle_gamma 90.00
_space_group_name_H-M_alt 'I -4 m 2'
_space_group_IT_number 119
_space_group_name_Hall 'I -4 -2'
loop_
_atom_site_label
_atom_site_type_symbol
_atom_site_fract_x
_atom_site_fract_y
_atom_site_fract_z
Li1 Li 0.000 0.000 0.000
Ho1 Ho 0.000 0.500 0.750
P1 P 0.000 0.500 0.115
Pt1 Pt 0.000 0.000 0.165
Pt2 Pt 0.000 0.000 0.335
Pt3 Pt 0.000 0.500 0.029
Pt4 Pt 0.000 0.500 0.250
```

## Properties
calculated total energy	-64.31	eV/f.u.
DOS at the Fermi energy	0.257	states/eV/atom
size of the total moment	0.0	μB/cell
crystal system	tetragonal